Below is Y2MnInF after structural relaxation, with properties calculated at the GGA+U level.

Output
Energy   -4.925 eV/atom

```
data_Y2MnInF
_cell_length_a 5.423
_cell_length_b 5.423
_cell_length_c 4.981
_cell_angle_alpha 90.00
_cell_angle_beta 90.00
_cell_angle_gamma 90.00
_symmetry_space_group_name_H-M 'P 4/m m m'
_symmetry_Int_Tables_number 123
_symmetry_space_group_name_Hall '-P 4 2'
loop_
_atom_site_label
_atom_site_fract_x
_atom_site_fract_y
_atom_site_fract_z
Y1 0.000 0.500 0.000
Mn1 0.000 0.000 0.000
In1 0.000 0.000 0.500
F1 0.500 0.500 0.500
```